# 1
# ScMnCd | the Alexandria database | SCAN | single point on PBEsol structure
# Formation energy in eV per atom: -0.175
data_ScMnCd
_symmetry_space_group_name_H-M 'P 3 m 1'
_symmetry_Int_Tables_number 156
_cell_length_a 4.6319
_cell_length_b 4.6319
_cell_length_c 3.0291
_cell_angle_alpha 90.00
_cell_angle_beta 90.00
_cell_angle_gamma 120.00
loop_
_symmetry_equiv_pos_as_xyz
'x,y,z'
'-y,x-y,z'
'-x+y,-x,z'
'-y,-x,z'
'-x+y,y,z'
'x,x-y,z'
loop_
_atom_site_label
_atom_site_fract_x
_atom_site_fract_y
_atom_site_fract_z
_atom_site_occupancy
Sc1 0.0000 0.0000 0.0000 1
Mn1 0.3333 0.6667 0.4977 1
Cd1 0.6667 0.3333 0.5021 1

---

# 2
# MnCdSe3 | the Alexandria database | SCAN | single point on PBEsol structure
# Formation energy from raw total energies in eV per atom: -0.053
data_MnCdSe3
_symmetry_space_group_name_H-M 'P m -3 m'
_symmetry_Int_Tables_number 221
_symmetry_space_group_name_Hall '-P 4 2 3'
_cell_length_a 4.7600
_cell_length_b 4.7600
_cell_length_c 4.7600
_cell_angle_alpha 90.00
_cell_angle_beta 90.00
_cell_angle_gamma 90.00
loop_
_atom_site_label
_atom_site_fract_x
_atom_site_fract_y
_atom_site_fract_z
_atom_site_occupancy
Mn1 0.0000 0.0000 0.0000 1
Cd1 0.5000 0.5000 0.5000 1
Se1 0.0000 0.0000 0.5000 1

---

# 3
# Mn2CdSe | the Alexandria database | SCAN | single point on PBEsol structure
# Formation energy from raw total energies in eV per atom: 0.184
data_Mn2CdSe
_symmetry_space_group_name_H-M 'F -4 3 m'
_symmetry_Int_Tables_number 216
_symmetry_space_group_name_Hall 'F -4 2 3'
_cell_length_a 6.4617
_cell_length_b 6.4617
_cell_length_c 6.4617
_cell_angle_alpha 90.00
_cell_angle_beta 90.00
_cell_angle_gamma 90.00
loop_
_atom_site_label
_atom_site_fract_x
_atom_site_fract_y
_atom_site_fract_z
_atom_site_occupancy
Mn1 0.0000 0.0000 0.0000 1
Mn2 0.2500 0.2500 0.2500 1
Cd1 0.0000 0.0000 0.5000 1
Se1 0.2500 0.2500 0.7500 1

---

# 4
# MnCd2Si | the Alexandria database | SCAN | single point on PBEsol structure
# Formation energy from raw total energies in eV per atom: 0.215
data_MnCd2Si
_symmetry_space_group_name_H-M 'C 1 2/m 1'
_symmetry_Int_Tables_number 12
_cell_length_a 5.4971
_cell_length_b 10.3018
_cell_length_c 2.8312
_cell_angle_alpha 90.00
_cell_angle_beta 120.44
_cell_angle_gamma 90.00
loop_
_symmetry_equiv_pos_as_xyz
'x,y,z'
'-x,-y,-z'
'-x,y,-z'
'x,-y,z'
'x+1/2,y+1/2,z'
'-x+1/2,-y+1/2,-z'
'-x+1/2,y+1/2,-z'
'x+1/2,-y+1/2,z'
loop_
_atom_site_label
_atom_site_fract_x
_atom_site_fract_y
_atom_site_fract_z
_atom_site_occupancy
Mn1 0.0000 0.0000 0.0000 1
Cd1 0.2500 0.2500 0.0000 1
Si1 0.0000 0.5000 0.0000 1

---

# 5
# MnCd2Si | the Alexandria database | SCAN | single point on PBEsol structure
# Formation energy from raw total energies in eV per atom: 0.163
data_MnCd2Si
_symmetry_space_group_name_H-M 'P 4/m m m'
_symmetry_Int_Tables_number 123
_symmetry_space_group_name_Hall '-P 4 2'
_cell_length_a 4.0021
_cell_length_b 4.0021
_cell_length_c 4.1970
_cell_angle_alpha 90.00
_cell_angle_beta 90.00
_cell_angle_gamma 90.00
loop_
_atom_site_label
_atom_site_fract_x
_atom_site_fract_y
_atom_site_fract_z
_atom_site_occupancy
Mn1 0.0000 0.0000 0.0000 1
Cd1 0.0000 0.5000 0.5000 1
Si1 0.5000 0.5000 0.0000 1

---

# 6
# MnCd2Si | the Alexandria database | SCAN | single point on PBEsol structure
# Formation energy from raw total energies in eV per atom: 0.237
data_MnCd2Si
_symmetry_space_group_name_H-M 'P m m m'
_symmetry_Int_Tables_number 47
_cell_length_a 3.2160
_cell_length_b 3.9407
_cell_length_c 5.4216
_cell_angle_alpha 90.00
_cell_angle_beta 90.00
_cell_angle_gamma 90.00
loop_
_symmetry_equiv_pos_as_xyz
'x,y,z'
'-x,-y,-z'
'-x,-y,z'
'x,y,-z'
'x,-y,-z'
'-x,y,z'
'-x,y,-z'
'x,-y,z'
loop_
_atom_site_label
_atom_site_fract_x
_atom_site_fract_y
_atom_site_fract_z
_atom_site_occupancy
Mn1 0.0000 0.0000 0.0000 1
Cd1 0.5000 0.5000 0.2469 1
Si1 0.0000 0.0000 0.5000 1

---

# 7
# SrMnCd2 | the Alexandria database | SCAN | single point on PBEsol structure
# Formation energy in eV per atom: 0.251
data_SrMnCd2
_symmetry_space_group_name_H-M 'R 3 m'
_symmetry_Int_Tables_number 160
_symmetry_space_group_name_Hall 'R 3 -2"'
_cell_length_a 3.4729
_cell_length_b 3.4729
_cell_length_c 28.4408
_cell_angle_alpha 90.00
_cell_angle_beta 90.00
_cell_angle_gamma 120.00
loop_
_atom_site_label
_atom_site_fract_x
_atom_site_fract_y
_atom_site_fract_z
_atom_site_occupancy
Sr1 0.0000 0.0000 0.0000 1
Mn1 0.0000 0.0000 0.2418 1
Cd1 0.0000 0.0000 0.5068 1
Cd2 0.0000 0.0000 0.7623 1

---

# 8
# SrMnCd2 | the Alexandria database | SCAN | single point on PBEsol structure
# Formation energy in eV per atom: -0.110
data_SrMnCd2
_symmetry_space_group_name_H-M 'I m m m'
_symmetry_Int_Tables_number 71
_symmetry_space_group_name_Hall '-I 2 2'
_cell_length_a 5.0983
_cell_length_b 5.1100
_cell_length_c 7.2448
_cell_angle_alpha 90.00
_cell_angle_beta 90.00
_cell_angle_gamma 90.00
loop_
_atom_site_label
_atom_site_fract_x
_atom_site_fract_y
_atom_site_fract_z
_atom_site_occupancy
Sr1 0.0000 0.0000 0.0000 1
Mn1 0.0000 0.0000 0.5000 1
Cd1 0.0000 0.5000 0.2491 1

---

# 9
# SrMnCd2 | the Alexandria database | SCAN | single point on PBEsol structure
# Formation energy in eV per atom: -0.199
data_SrMnCd2
_symmetry_space_group_name_H-M 'R -3 m'
_symmetry_Int_Tables_number 166
_symmetry_space_group_name_Hall '-R 3 2"'
_cell_length_a 4.6862
_cell_length_b 4.6862
_cell_length_c 16.4167
_cell_angle_alpha 90.00
_cell_angle_beta 90.00
_cell_angle_gamma 120.00
loop_
_atom_site_label
_atom_site_fract_x
_atom_site_fract_y
_atom_site_fract_z
_atom_site_occupancy
Sr1 0.0000 0.0000 0.0000 1
Mn1 0.0000 0.0000 0.5000 1
Cd1 0.0000 0.0000 0.2034 1

---

# 10
# SrMnCd2 | the Alexandria database | SCAN | single point on PBEsol structure
# Formation energy in eV per atom: -0.157
data_SrMnCd2
_symmetry_space_group_name_H-M 'P m m m'
_symmetry_Int_Tables_number 47
_cell_length_a 3.4491
_cell_length_b 3.5102
_cell_length_c 7.6017
_cell_angle_alpha 90.00
_cell_angle_beta 90.00
_cell_angle_gamma 90.00
loop_
_symmetry_equiv_pos_as_xyz
'x,y,z'
'-x,-y,-z'
'-x,-y,z'
'x,y,-z'
'x,-y,-z'
'-x,y,z'
'-x,y,-z'
'x,-y,z'
loop_
_atom_site_label
_atom_site_fract_x
_atom_site_fract_y
_atom_site_fract_z
_atom_site_occupancy
Sr1 0.0000 0.0000 0.0000 1
Mn1 0.0000 0.0000 0.5000 1
Cd1 0.5000 0.5000 0.3068 1

---

# 11
# SrMn3Cd | the Alexandria database | SCAN | single point on PBEsol structure
# Formation energy in eV per atom: 1.699
data_SrMn3Cd
_symmetry_space_group_name_H-M 'P m -3 m'
_symmetry_Int_Tables_number 221
_symmetry_space_group_name_Hall '-P 4 2 3'
_cell_length_a 4.8907
_cell_length_b 4.8907
_cell_length_c 4.8907
_cell_angle_alpha 90.00
_cell_angle_beta 90.00
_cell_angle_gamma 90.00
loop_
_atom_site_label
_atom_site_fract_x
_atom_site_fract_y
_atom_site_fract_z
_atom_site_occupancy
Sr1 0.0000 0.0000 0.0000 1
Mn1 0.0000 0.0000 0.5000 1
Cd1 0.5000 0.5000 0.5000 1

---

# 12
# Ta2MnCd | the Alexandria database | SCAN | single point on PBEsol structure
# Formation energy in eV per atom: 0.315
data_Ta2MnCd
_symmetry_space_group_name_H-M 'R -3 m'
_symmetry_Int_Tables_number 166
_symmetry_space_group_name_Hall '-R 3 2"'
_cell_length_a 2.9847
_cell_length_b 2.9847
_cell_length_c 26.0316
_cell_angle_alpha 90.00
_cell_angle_beta 90.00
_cell_angle_gamma 120.00
loop_
_atom_site_label
_atom_site_fract_x
_atom_site_fract_y
_atom_site_fract_z
_atom_site_occupancy
Ta1 0.0000 0.0000 0.2369 1
Mn1 0.0000 0.0000 0.5000 1
Cd1 0.0000 0.0000 0.0000 1

---

Number 1: DOS(E_F) 0.661 states/eV/atom, V 56 Å³/cell. Number 2: DOS(E_F) 0.549 states/eV/atom, V 108 Å³/cell. Number 3: DOS(E_F) 0.700 states/eV/atom, V 270 Å³/cell. Number 4: DOS(E_F) 0.473 states/eV/atom, V 138 Å³/cell. Number 5: DOS(E_F) 0.340 states/eV/atom, V 67 Å³/cell. Number 6: DOS(E_F) 0.537 states/eV/atom, V 69 Å³/cell. Number 7: DOS(E_F) 0.545 states/eV/atom, V 297 Å³/cell. Number 8: DOS(E_F) 0.551 states/eV/atom, V 189 Å³/cell. Number 9: DOS(E_F) 0.544 states/eV/atom, V 312 Å³/cell. Number 10: DOS(E_F) 0.454 states/eV/atom, V 92 Å³/cell. Number 11: DOS(E_F) 0.550 states/eV/atom, V 117 Å³/cell. Number 12: DOS(E_F) 0.716 states/eV/atom, V 201 Å³/cell.